First-principles (PBE) data for crystalline Cu2OsAu at its relaxed geometry, as listed in the Alexandria database.

Results
The total energy is -5.234 eV/atom. The distance to the lowest polymorph of the same formula is 0.85 eV/f.u. The density of states at the Fermi level is 2.92 states/eV per cell. As for the mass density: 14.66 g/cm3. For the spin magnetization, the calculation gives 0.00 μB per atom. The calculation puts the energy relative to the elements at 1.8 eV/f.u.

Unit cell a=2.6783 b=4.7846 c=4.5459 alpha=90.00 beta=90.00 gamma=90.00
Positions (direct):
1 Os 0.5000 0.0000 0.5000
2 Cu 0.5000 0.5000 0.0000
3 Cu 0.0000 0.0000 0.0000
4 Au 0.0000 0.5000 0.5000